AcSI GGA-PBE relaxed; formation energy (no corrections) = -4.9 eV/f.u.; crystal system = cubic; N(E_F) = 0.0 states/eV/cell
1.0
0.000 3.767 3.767
3.767 0.000 3.767
3.767 3.767 0.000
Ac S I
1 1 1
direct
0.000 0.000 0.000 Ac
0.250 0.250 0.250 S
0.750 0.750 0.750 I